VASP calculation (PBE-GGA) on a relaxed Dy4Ni3Rh crystal.

a = 3.7381 Å, b = 4.2047 Å, c = 10.3454 Å
α = 90.00°, β = 90.00°, γ = 90.00°
Element x y z (fractional)
1 Dy 0.0000 0.0000 0.0000
2 Dy 0.0000 0.5000 0.2765
3 Dy 0.5000 0.0000 0.4972
4 Dy 0.5000 0.5000 0.7792
5 Ni 0.0000 0.5000 0.5559
6 Ni 0.5000 0.0000 0.2088
7 Ni 0.5000 0.5000 0.0692
8 Rh 0.0000 0.0000 0.7192

Results
Formation energy in eV/atom: -0.56
Total energy in eV per formula unit: -47.6